[1]
# Y8Ge3Te4Ir PBE-GGA relaxed
# Energy relative to the elements, uncorrected = -1.148 eV/atom
data_Y8Ge3Te4Ir
_cell_length_a 8.4523
_cell_length_b 8.4523
_cell_length_c 21.4315
_cell_angle_alpha 90.00
_cell_angle_beta 90.00
_cell_angle_gamma 120.00
_symmetry_space_group_name_H-M 'R -3 m'
_symmetry_Int_Tables_number 166
_symmetry_space_group_name_Hall '-R 3 2"'
loop_
_atom_site_label
_atom_site_fract_x
_atom_site_fract_y
_atom_site_fract_z
Y1 0.0000 0.0000 0.2406
Y2 0.0045 0.5023 0.2382
Ge1 0.0000 0.5000 0.5000
Te1 0.0000 0.0000 0.0000
Te2 0.0000 0.5000 0.0000
Ir1 0.0000 0.0000 0.5000

***

[2]
# Ce2TmPt3 PBE-GGA relaxed
# Calculated formation energy = -106 kJ per mole of atoms
data_Ce2TmPt3
_cell_length_a 12.934
_cell_length_b 5.783
_cell_length_c 8.215
_cell_angle_alpha 90.00
_cell_angle_beta 108.50
_cell_angle_gamma 90.00
_symmetry_space_group_name_H-M 'C 1 2/c 1'
_symmetry_Int_Tables_number 15
_symmetry_space_group_name_Hall '-C 2yc'
loop_
_atom_site_label
_atom_site_fract_x
_atom_site_fract_y
_atom_site_fract_z
Ce1 0.167 0.000 0.084
Tm1 0.000 0.499 0.250
Pt1 0.000 0.001 0.750
Pt2 0.165 0.500 0.082